First-principles (PBE) data for a relaxed structure of CaDy2Pb9, as listed in Alexandria.

a b c (Å): 4.9348 4.9348 14.4488
angles (deg): 90.00 90.00 90.00
Last column: nearest neighbours and their distance in Å.
Space group P4/mmm (No. 123)
Symmetry-distinct sites (fractional):
Ca 0.0000 0.0000 0.0000 x1  12 Pb 3.47-3.49
Dy 0.0000 0.0000 0.3382 x2  12 Pb 3.40-3.49
Pb 0.0000 0.5000 0.1690 x4  8 Pb 3.43-3.49, 2 Ca 3.47, 2 Dy 3.47
Pb 0.0000 0.5000 0.5000 x2  4 Dy 3.40, 8 Pb 3.44-3.49
Pb 0.5000 0.5000 0.0000 x1  8 Pb 3.47, 4 Ca 3.49
Pb 0.5000 0.5000 0.3342 x2  8 Pb 3.43-3.44, 4 Dy 3.49

Output
Total DFT energy (no corrections): -4.01 eV per atom
Formation energy from the elements: -28.5 kJ per mole of atoms